# 1
Density functional theory data (PBE) for a relaxed structure of Ac5TlCu4.

Cell: 3.831 3.831 19.741 Å, 90.00 90.00 90.00°
Positions (direct):
1 Ac 0.000 0.000 0.000
2 Ac 0.000 0.000 0.192
3 Ac 0.000 0.000 0.382
4 Ac 0.000 0.000 0.618
5 Ac 0.000 0.000 0.808
6 Tl 0.500 0.500 0.500
7 Cu 0.500 0.500 0.096
8 Cu 0.500 0.500 0.287
9 Cu 0.500 0.500 0.713
10 Cu 0.500 0.500 0.904

Summary:
**Energy relative to the elements**: -0.137 eV/atom
**Calculated volume**: 28.98 Å³/atom
**Space-group type**: P4/mmm (123)
**Total magnetic moment**: 0.00 Bohr magnetons per cell

# 2
Density functional theory data (PBE) for a relaxed structure of Ac6TlCu2.

Cell: 9.437 9.437 9.437 Å, 114.87 108.10 105.59°
Positions (direct):
1 Ac 0.041 0.234 0.807
2 Ac 0.181 0.288 0.469
3 Ac 0.181 0.712 0.894
4 Ac 0.326 0.015 0.689
5 Ac 0.326 0.637 0.311
6 Ac 0.427 0.234 0.193
7 Ac 0.573 0.766 0.807
8 Ac 0.674 0.363 0.689
9 Ac 0.674 0.985 0.311
10 Ac 0.819 0.288 0.106
11 Ac 0.819 0.712 0.531
12 Ac 0.959 0.766 0.193
13 Tl 0.000 0.000 0.000
14 Tl 0.500 0.500 0.000
15 Cu 0.114 0.614 0.500
16 Cu 0.346 0.000 0.346
17 Cu 0.654 0.000 0.654
18 Cu 0.886 0.386 0.500

Summary:
**Energy relative to the elements**: -0.122 eV/atom
**Calculated volume**: 35.69 Å³/atom
**Space-group type**: Immm (71)
**Total magnetic moment**: 0.00 Bohr magnetons per cell

# 3
Density functional theory data (PBE) for a relaxed structure of AcTlCu.

Cell: 6.455 6.455 6.455 Å, 146.61 146.61 47.94°
Positions (direct):
1 Ac 0.000 0.000 0.000
2 Tl 0.290 0.290 0.000
3 Cu 0.664 0.664 0.000

Summary:
**Energy relative to the elements**: -0.037 eV/atom
**Calculated volume**: 27.04 Å³/atom
**Space-group type**: I4mm (107)
**Excess energy over the best structure of this formula in the dataset**: 51.9 kJ/mol of formula units
**Total magnetic moment**: 0.00 Bohr magnetons per cell

# 4
Density functional theory data (PBE) for a relaxed structure of Ac6Tl3Cu.

Cell: 7.138 9.544 13.027 Å, 90.00 119.83 90.00°
Positions (direct):
1 Ac 0.079 0.161 0.440
2 Ac 0.079 0.339 0.940
3 Ac 0.323 0.692 0.435
4 Ac 0.323 0.808 0.935
5 Ac 0.417 0.060 0.264
6 Ac 0.417 0.440 0.764
7 Ac 0.583 0.560 0.236
8 Ac 0.583 0.940 0.736
9 Ac 0.677 0.192 0.065
10 Ac 0.677 0.308 0.565
11 Ac 0.921 0.661 0.060
12 Ac 0.921 0.839 0.560
13 Tl 0.000 0.000 0.000
14 Tl 0.000 0.500 0.500
15 Tl 0.176 0.115 0.760
16 Tl 0.176 0.385 0.260
17 Tl 0.824 0.615 0.740
18 Tl 0.824 0.885 0.240
19 Cu 0.500 0.000 0.500
20 Cu 0.500 0.500 0.000

Summary:
**Energy relative to the elements**: -0.155 eV/atom
**Calculated volume**: 38.50 Å³/atom
**Space-group type**: P2_1/c (14)
**Total magnetic moment**: 0.00 Bohr magnetons per cell